[1]
HfZrCu2 | meta-GGA SCAN | single point on PBEsol structure

The structure belongs to space group Fm-3m (No. 225); the cell edges are 6.4127, 6.4127 and 6.4127 Å and the angles 90.00°, 90.00° and 90.00°. The asymmetric unit holds Hf at (0.0000, 0.0000, 0.0000), Zr at (0.0000, 0.0000, 0.5000) and Cu at (0.2500, 0.2500, 0.2500).

Its uncorrected energy is -31.12 eV/atom. The crystal system is cubic. The volume is 16.48 A^3/atom.

[2]
HfC | meta-GGA SCAN | single point on PBEsol structure

The structure belongs to space group Fm-3m (No. 225); the cell edges are 4.6053, 4.6053 and 4.6053 Å and the angles 90.00°, 90.00° and 90.00°. The asymmetric unit holds Hf at (0.0000, 0.0000, 0.0000) and C at (0.0000, 0.0000, 0.5000).

Its uncorrected energy is -37.45 eV/atom. The crystal system is cubic. The volume is 12.21 A^3/atom.

[3]
SrCrAgBr2 | meta-GGA SCAN | single point on PBEsol structure

The structure belongs to space group P4/mmm (No. 123); the cell edges are 5.6203, 5.6203 and 6.9183 Å and the angles 90.00°, 90.00° and 90.00°. The asymmetric unit holds Sr at (0.0000, 0.0000, 0.0000), Cr at (0.0000, 0.0000, 0.5000), Ag at (0.5000, 0.5000, 0.5000) and Br at (0.0000, 0.5000, 0.0000).

Its uncorrected energy is -22.31 eV/atom. The crystal system is tetragonal. As for the uncorrected formation energy: -124 meV/atom. The volume is 43.71 A^3/atom.